Computed, not measured: an optimized crystal structure of Pr12Sm6Y at the PBE level of DFT.

Cell lengths 9.7172, 9.7172, 9.7172 Å; angles 109.28, 109.28, 109.28 degrees
Fractional coordinates of all 19 atoms:
1 Pr 0.0000 0.3929 0.6071
2 Pr 0.0000 0.6071 0.3929
3 Pr 0.1205 0.1205 0.3253
4 Pr 0.1205 0.3253 0.1205
5 Pr 0.3253 0.1205 0.1205
6 Pr 0.3929 0.0000 0.6071
7 Pr 0.3929 0.6071 0.0000
8 Pr 0.6071 0.0000 0.3929
9 Pr 0.6071 0.3929 0.0000
10 Pr 0.6747 0.8795 0.8795
11 Pr 0.8795 0.6747 0.8795
12 Pr 0.8795 0.8795 0.6747
13 Sm 0.1698 0.1698 0.7231
14 Sm 0.1698 0.7231 0.1698
15 Sm 0.2769 0.8302 0.8302
16 Sm 0.7231 0.1698 0.1698
17 Sm 0.8302 0.2769 0.8302
18 Sm 0.8302 0.8302 0.2769
19 Y 0.5000 0.5000 0.5000

Output
Size of the total moment (μB/f.u.): 0.00
DOS at the Fermi energy (states/eV/atom): 1.599
Distance to the lowest polymorph of the same formula (eV/atom): 0.2737
SG: R-3m

Computed, not measured: an optimized crystal structure of PrSm2Y3 at the PBE level of DFT.

Cell lengths 6.7246, 6.7246, 9.0568 Å; angles 97.79, 97.79, 95.25 degrees
Fractional coordinates of all 12 atoms:
1 Pr 0.0869 0.9131 0.7500
2 Pr 0.9131 0.0869 0.2500
3 Sm 0.1291 0.6241 0.3742
4 Sm 0.3759 0.8709 0.1258
5 Sm 0.6241 0.1291 0.8742
6 Sm 0.8709 0.3759 0.6258
7 Y 0.1642 0.3307 0.9980
8 Y 0.3307 0.1642 0.4980
9 Y 0.4192 0.5808 0.7500
10 Y 0.5808 0.4192 0.2500
11 Y 0.6693 0.8358 0.5020
12 Y 0.8358 0.6693 0.0020

Output
Size of the total moment (μB/f.u.): 0.00
DOS at the Fermi energy (states/eV/atom): 1.586
Distance to the lowest polymorph of the same formula (eV/atom): 0.0000
SG: C2/c

Computed, not measured: an optimized crystal structure of Pr3Sm2Y2 at the PBE level of DFT.

Cell lengths 9.1135, 9.1135, 8.6914 Å; angles 118.11, 118.11, 22.58 degrees
Fractional coordinates of all 7 atoms:
1 Pr 0.0000 0.0000 0.0000
2 Pr 0.2132 0.2132 0.2976
3 Pr 0.7868 0.7868 0.7024
4 Sm 0.4354 0.4354 0.5895
5 Sm 0.5646 0.5646 0.4105
6 Y 0.1454 0.1454 0.8284
7 Y 0.8546 0.8546 0.1716

Output
Size of the total moment (μB/f.u.): 0.00
DOS at the Fermi energy (states/eV/atom): 1.594
Distance to the lowest polymorph of the same formula (eV/atom): 0.0000
SG: C2/m

Computed, not measured: an optimized crystal structure of Pr3Sm4Y4 at the PBE level of DFT.

Cell lengths 11.1599, 11.1599, 11.1599 Å; angles 161.53, 118.17, 65.13 degrees
Fractional coordinates of all 11 atoms:
1 Pr 0.0000 0.0000 0.0000
2 Pr 0.3948 0.8948 0.5000
3 Pr 0.6052 0.1052 0.5000
4 Sm 0.0724 0.3292 0.7432
5 Sm 0.4140 0.6708 0.7432
6 Sm 0.5860 0.3292 0.2568
7 Sm 0.9276 0.6708 0.2568
8 Y 0.2222 0.2222 0.0000
9 Y 0.2851 0.5000 0.7851
10 Y 0.7149 0.5000 0.2149
11 Y 0.7778 0.7778 0.0000

Output
Size of the total moment (μB/f.u.): 0.00
DOS at the Fermi energy (states/eV/atom): 1.370
Distance to the lowest polymorph of the same formula (eV/atom): 0.0252
SG: Immm

Computed, not measured: an optimized crystal structure of PrSm2Y8 at the PBE level of DFT.

Cell lengths 8.9871, 8.9871, 6.7116 Å; angles 98.45, 98.45, 43.76 degrees
Fractional coordinates of all 11 atoms:
1 Pr 0.0000 0.0000 0.0000
2 Sm 0.2447 0.2447 0.3085
3 Sm 0.7553 0.7553 0.6915
4 Y 0.1730 0.6478 0.5937
5 Y 0.2057 0.2057 0.8008
6 Y 0.3522 0.8270 0.4063
7 Y 0.4117 0.4117 0.0969
8 Y 0.5883 0.5883 0.9031
9 Y 0.6478 0.1730 0.5937
10 Y 0.7943 0.7943 0.1992
11 Y 0.8270 0.3522 0.4063

Output
Size of the total moment (μB/f.u.): 0.00
DOS at the Fermi energy (states/eV/atom): 1.726
Distance to the lowest polymorph of the same formula (eV/atom): 0.0190
SG: C2/m

Computed, not measured: an optimized crystal structure of Pr5Sm2Y12 at the PBE level of DFT.

Cell lengths 10.0363, 10.0363, 9.1175 Å; angles 106.96, 106.96, 48.84 degrees
Fractional coordinates of all 19 atoms:
1 Pr 0.0000 0.0000 0.0000
2 Pr 0.2464 0.2464 0.7226
3 Pr 0.3013 0.3013 0.3073
4 Pr 0.6987 0.6987 0.6927
5 Pr 0.7536 0.7536 0.2774
6 Sm 0.3259 0.6741 0.5000
7 Sm 0.6741 0.3259 0.5000
8 Y 0.0530 0.0530 0.6725
9 Y 0.0617 0.6625 0.6373
10 Y 0.0836 0.6113 0.0290
11 Y 0.3375 0.9383 0.3627
12 Y 0.3887 0.9164 0.9710
13 Y 0.4856 0.4856 0.8209
14 Y 0.5144 0.5144 0.1791
15 Y 0.6113 0.0836 0.0290
16 Y 0.6625 0.0617 0.6373
17 Y 0.9164 0.3887 0.9710
18 Y 0.9383 0.3375 0.3627
19 Y 0.9470 0.9470 0.3275

Output
Size of the total moment (μB/f.u.): 0.00
DOS at the Fermi energy (states/eV/atom): 1.547
Distance to the lowest polymorph of the same formula (eV/atom): 0.1045
SG: C2/m

Computed, not measured: an optimized crystal structure of Pr5SmY12 at the PBE level of DFT.

Cell lengths 10.8367, 5.1190, 10.8471 Å; angles 90.00, 90.15, 90.00 degrees
Fractional coordinates of all 18 atoms:
1 Pr 0.0000 0.0000 0.0000
2 Pr 0.1668 0.5000 0.8332
3 Pr 0.3341 0.0000 0.6658
4 Pr 0.6659 0.0000 0.3342
5 Pr 0.8332 0.5000 0.1668
6 Sm 0.5000 0.5000 0.5000
7 Y 0.0014 0.0000 0.3350
8 Y 0.1661 0.5000 0.4988
9 Y 0.1682 0.5000 0.1681
10 Y 0.3327 0.0000 0.3328
11 Y 0.3350 0.0000 0.0013
12 Y 0.4987 0.5000 0.1662
13 Y 0.5013 0.5000 0.8338
14 Y 0.6650 0.0000 0.9987
15 Y 0.6673 0.0000 0.6672
16 Y 0.8318 0.5000 0.8319
17 Y 0.8339 0.5000 0.5012
18 Y 0.9986 0.0000 0.6650

Output
Energy (eV/atom): -5.878
Size of the total moment (μB/f.u.): 0.00
DOS at the Fermi energy (states/eV/atom): 1.592
SG: P2/m

Computed, not measured: an optimized crystal structure of Pr6Sm8Y at the PBE level of DFT.

Cell lengths 8.8611, 8.8611, 8.8611 Å; angles 63.30, 63.30, 63.30 degrees
Fractional coordinates of all 15 atoms:
1 Pr 0.0380 0.5992 0.7357
2 Pr 0.2643 0.9620 0.4008
3 Pr 0.4008 0.2643 0.9620
4 Pr 0.5992 0.7357 0.0380
5 Pr 0.7357 0.0380 0.5992
6 Pr 0.9620 0.4008 0.2643
7 Sm 0.0772 0.0772 0.0772
8 Sm 0.2170 0.6128 0.2503
9 Sm 0.2503 0.2170 0.6128
10 Sm 0.3872 0.7497 0.7830
11 Sm 0.6128 0.2503 0.2170
12 Sm 0.7497 0.7830 0.3872
13 Sm 0.7830 0.3872 0.7497
14 Sm 0.9228 0.9228 0.9228
15 Y 0.5000 0.5000 0.5000

Output
Energy (eV/atom): -4.747
Size of the total moment (μB/f.u.): 0.00
DOS at the Fermi energy (states/eV/atom): 1.460
SG: R-3

Computed, not measured: an optimized crystal structure of Pr2Sm5Y at the PBE level of DFT.

Cell lengths 6.6509, 6.6509, 16.4227 Å; angles 90.00, 90.00, 129.46 degrees
Fractional coordinates of all 16 atoms:
1 Pr 0.2219 0.7781 0.6289
2 Pr 0.2219 0.7781 0.8711
3 Pr 0.7781 0.2219 0.1289
4 Pr 0.7781 0.2219 0.3711
5 Sm 0.0781 0.9219 0.0908
6 Sm 0.0781 0.9219 0.4092
7 Sm 0.3830 0.6170 0.0516
8 Sm 0.3830 0.6170 0.4484
9 Sm 0.4593 0.5407 0.7500
10 Sm 0.5407 0.4593 0.2500
11 Sm 0.6170 0.3830 0.5516
12 Sm 0.6170 0.3830 0.9484
13 Sm 0.9219 0.0781 0.5908
14 Sm 0.9219 0.0781 0.9092
15 Y 0.2609 0.7391 0.2500
16 Y 0.7391 0.2609 0.7500

Output
Energy (eV/atom): -4.821
Size of the total moment (μB/f.u.): 0.00
DOS at the Fermi energy (states/eV/atom): 1.624
SG: Cmcm

Computed, not measured: an optimized crystal structure of PrSm10Y6 at the PBE level of DFT.

Cell lengths 9.8389, 9.8389, 6.9024 Å; angles 90.00, 90.00, 120.00 degrees
Fractional coordinates of all 17 atoms:
1 Pr 0.0000 0.0000 0.0000
2 Sm 0.0000 0.2767 0.3188
3 Sm 0.0000 0.7233 0.6812
4 Sm 0.2767 0.0000 0.3188
5 Sm 0.2767 0.2767 0.6812
6 Sm 0.3333 0.6667 0.0000
7 Sm 0.3333 0.6667 0.5000
8 Sm 0.6667 0.3333 0.0000
9 Sm 0.6667 0.3333 0.5000
10 Sm 0.7233 0.0000 0.6812
11 Sm 0.7233 0.7233 0.3188
12 Y 0.0000 0.3730 0.8069
13 Y 0.0000 0.6270 0.1931
14 Y 0.3730 0.0000 0.8069
15 Y 0.3730 0.3730 0.1931
16 Y 0.6270 0.0000 0.1931
17 Y 0.6270 0.6270 0.8069

Output
Energy (eV/atom): -5.202
Size of the total moment (μB/f.u.): 0.00
DOS at the Fermi energy (states/eV/atom): 1.552
SG: P-31m

Number 1: volume 37.431 A^3/atom. Number 2: volume 33.292 A^3/atom. Number 3: volume 34.727 A^3/atom. Number 4: volume 35.123 A^3/atom. Number 5: volume 33.654 A^3/atom. Number 6: volume 34.471 A^3/atom. Number 7: volume 33.429 A^3/atom. Number 8: volume 35.195 A^3/atom. Number 9: volume 35.053 A^3/atom. Number 10: volume 34.039 A^3/atom.